Entry 1:
An optimized crystal structure of CaZn2Co, computed with PBE.

Summary:
Space group: I-42d, No. 122
Size of the total moment: 0.20 μB/cell

Lattice parameters (Å, degrees): 4.6096 4.6096 8.9897 75.14 75.14 90.00
Last column: nearest neighbours and their distance in Å.
Sites, in units of the cell vectors:
Zn 0.8274 0.1250 0.2500  2 Zn 2.35, 2 Co 2.40
Zn 0.9226 0.6250 0.2500  2 Zn 2.35, 2 Co 2.40
Zn 0.3750 0.1726 0.7500  2 Zn 2.35, 2 Co 2.40
Zn 0.8750 0.0774 0.7500  2 Zn 2.35, 2 Co 2.40
Co 0.0000 0.0000 0.0000  4 Zn 2.40
Co 0.7500 0.2500 0.5000  4 Zn 2.40
Ca 0.5000 0.5000 0.0000  8 Zn 3.17-3.48, 4 Co 3.26
Ca 0.2500 0.7500 0.5000  8 Zn 3.17-3.48, 4 Co 3.26



Entry 2:
An optimized crystal structure of CaZnCo2, computed with PBE.

Summary:
Space group: Imm2, No. 44
Size of the total moment: 2.68 μB/cell

Lattice parameters (Å, degrees): 5.3240 5.3240 5.3240 146.34 128.68 62.78
Last column: nearest neighbours and their distance in Å.
Sites, in units of the cell vectors:
Zn 0.4671 0.4671 0.0000  6 Co 2.62-2.86
Co 0.0421 0.0421 0.0000  2 Co 2.33
Co 0.2338 0.7338 0.5000  2 Co 2.33
Ca 0.7571 0.2571 0.5000  8 Co 2.78-3.02, 4 Zn 2.99-3.05, 2 Ca 3.08



Entry 3:
An optimized crystal structure of CaZn2Co, computed with PBE.

Summary:
Space group: P4/mmm, No. 123
Size of the total moment: 1.01 μB/cell

Lattice parameters (Å, degrees): 3.2424 3.2334 6.5949 90.00 90.00 90.00
Last column: nearest neighbours and their distance in Å.
Sites, in units of the cell vectors:
Zn 0.0000 0.0000 0.9375  1 Zn 2.47, 4 Co 2.60
Zn 0.0000 0.0000 0.5625  1 Zn 2.47, 4 Co 2.60
Co 0.5000 0.5000 0.7500  8 Zn 2.60
Ca 0.5000 0.5000 0.2500  8 Zn 3.08, 4 Ca 3.23-3.24, 2 Co 3.30



| no. | electronic total energy (eV per atom) | formation enthalpy at 0 K (eV/f.u.) |
| --- | --- | --- |
| 1 | -2.711 | 0.81 |
| 2 | -4.123 | 1.00 |
| 3 | -2.919 | -0.02 |